# 1
AlCoW4 | GGA-PBEsol | optimized geometry

Computed properties:
Energy of formation from the pure elements   0.70 eV per atom
M_tot   4.54 μB/cell
Calculated total energy   -251.4 eV per cell
N(E_F)   1.189 states/eV per atom

a b c (Å): 7.3067 7.3067 7.3067
angles (deg): 90.00 90.00 90.00
Closest atoms and distances in Å follow each position.
Space group F-43m (No. 216)
Asymmetric unit:
Al1 0.0000 0.0000 0.0000 (multiplicity 4)  12 W 3.03, 4 Co 3.16
Co1 0.2500 0.2500 0.2500 (multiplicity 4)  12 W 3.03, 4 Al 3.16
W1 0.1255 0.1255 0.6255 (multiplicity 16)  6 W 2.57-2.59


# 2
InSn3Os | GGA-PBEsol | optimized geometry

Computed properties:
Energy of formation from the pure elements   1.83 eV per atom
M_tot   2.25 μB/cell
Calculated total energy   -18.8 eV per cell
N(E_F)   1.264 states/eV per atom

a b c (Å): 5.3179 5.3179 5.3179
angles (deg): 90.00 90.00 90.00
Closest atoms and distances in Å follow each position.
Space group Pm-3m (No. 221)
Asymmetric unit:
In1 0.0000 0.0000 0.0000 (multiplicity 1)  6 Sn 2.66
Sn1 0.0000 0.0000 0.5000 (multiplicity 3)  2 In 2.66
Os1 0.5000 0.5000 0.5000 (multiplicity 1)  12 Sn 3.76